No. 1
This record from the Alexandria database describes a relaxed Tl2CoNi crystal. The functional is PBE.

Values from the calculation:
As for the total DFT energy (no corrections): -3.994 eV/atom. The space group is Pm, No. 6. As for the formation energy from the elements: 0.411 eV/atom. The calculation puts the energy above the most stable polymorph in this dataset at 0.062 eV/f.u. The value obtained for the theoretical density is 11.91 Mg/m³. Its density of states at the Fermi level is 4.71 states/eV/f.u.

Cell: 3.994 3.709 5.293 Å, 69.39 90.00 90.00°
Element x y z (fractional)
Co 0.000 0.693 0.489
Ni 0.500 0.559 0.757
Tl 0.000 0.976 0.922
Tl 0.500 0.272 0.332

No. 2
This record from the Alexandria database describes a relaxed Zr2Sc crystal. The functional is PBE.

Values from the calculation:
As for the total DFT energy (no corrections): -7.824 eV/atom. The space group is Amm2, No. 38. As for the formation energy from the elements: -0.015 eV/atom. The value obtained for the theoretical density is 5.35 Mg/m³. Its density of states at the Fermi level is 3.55 states/eV/f.u.

Cell: 5.144 3.245 16.926 Å, 90.00 90.00 90.00°
Element x y z (fractional)
Zr 0.000 0.000 0.103
Zr 0.000 0.500 0.603
Zr 0.500 0.000 0.326
Zr 0.500 0.500 0.826
Zr 0.000 0.000 0.436
Zr 0.000 0.500 0.936
Zr 0.000 0.000 0.771
Zr 0.000 0.500 0.271
Sc 0.500 0.000 0.993
Sc 0.500 0.500 0.493
Sc 0.500 0.000 0.661
Sc 0.500 0.500 0.161

No. 3
This record from the Alexandria database describes a relaxed Dy2ErPuSb4 crystal. The functional is PBE.

Values from the calculation:
As for the total DFT energy (no corrections): -6.554 eV/atom. The space group is P2/m, No. 10. As for the uncorrected formation energy: -0.980 eV per atom. The value obtained for the theoretical density is 8.50 Mg/m³. Its density of states at the Fermi level is 16.43 states/eV/f.u.

Cell: 4.394 7.595 7.592 Å, 70.55 90.00 90.00°
Element x y z (fractional)
Dy 0.000 0.000 0.000
Dy 0.500 0.000 0.500
Er 0.000 0.500 0.500
Pu 0.500 0.500 0.000
Sb 0.000 0.750 0.748
Sb 0.000 0.250 0.252
Sb 0.500 0.749 0.252
Sb 0.500 0.251 0.748

Total magnetization? In order: 1.3, 0.0, 5.0 μB per formula unit.